a) Na2HCl after structural relaxation, computed with PBE-GGA.

Cell and atoms, written as POSCAR:
```
Na2HCl
1.0
4.142 0.000 0.000
-2.071 3.587 0.000
0.000 0.000 6.576
Na H Cl
2 1 1
Direct
0.000 0.000 0.000 Na
0.333 0.667 0.427 Na
0.333 0.667 0.092 H
0.000 0.000 0.589 Cl
```

Density of states at the Fermi level = 0.00 states/eV/cell
Crystal system = trigonal
Volume = 98 Å³/cell


b) Na2HCl after structural relaxation, computed with PBE-GGA.

Cell and atoms, written as POSCAR:
```
Na2HCl
1.0
1.882 1.087 6.148
-1.882 1.087 6.148
0.000 -2.173 6.148
Na H Cl
2 1 1
Direct
0.240 0.240 0.240 Na
0.760 0.760 0.760 Na
0.500 0.500 0.500 H
0.000 0.000 0.000 Cl
```

Density of states at the Fermi level = 0.00 states/eV/cell
Crystal system = trigonal
Volume = 75 Å³/cell


Which structure is the least stable? The one labeled a).


a) Na2HCl after structural relaxation, computed with PBE-GGA.

Cell and atoms, written as POSCAR:
```
Na2HCl
1.0
3.320 0.000 0.000
0.000 3.320 0.000
0.000 0.000 6.546
Na H Cl
2 1 1
Direct
0.000 0.000 0.234 Na
0.000 0.000 0.766 Na
0.500 0.500 0.000 H
0.500 0.500 0.500 Cl
```

Density of states at the Fermi level = 0.00 states/eV/cell
Crystal system = tetragonal
Volume = 72 Å³/cell


b) Na2HCl after structural relaxation, computed with PBE-GGA.

Cell and atoms, written as POSCAR:
```
Na2HCl
1.0
3.439 -6.354 0.000
3.439 6.354 0.000
0.000 0.000 3.665
Na H Cl
4 2 2
Direct
0.083 0.333 0.250 Na
0.333 0.083 0.750 Na
0.667 0.917 0.250 Na
0.917 0.667 0.750 Na
0.097 0.903 0.250 H
0.903 0.097 0.750 H
0.338 0.662 0.750 Cl
0.662 0.338 0.250 Cl
```

Density of states at the Fermi level = 0.00 states/eV/cell
Crystal system = orthorhombic
Volume = 160 Å³/cell


c) Na2HCl after structural relaxation, computed with PBE-GGA.

Cell and atoms, written as POSCAR:
```
Na2HCl
1.0
0.000 3.298 3.298
3.298 0.000 3.298
3.298 3.298 0.000
Na H Cl
2 1 1
Direct
0.250 0.250 0.250 Na
0.750 0.750 0.750 Na
0.000 0.000 0.000 H
0.500 0.500 0.500 Cl
```

Density of states at the Fermi level = 0.00 states/eV/cell
Crystal system = cubic
Volume = 72 Å³/cell


Which structure is the least stable? The one labeled a).


a) Na2HCl4 after structural relaxation, computed with PBE-GGA.

Cell and atoms, written as POSCAR:
```
Na2HCl4
1.0
-1.972 1.972 10.649
1.972 -1.972 10.649
1.972 1.972 -10.649
Na H Cl
2 1 4
Direct
0.187 0.187 0.000 Na
0.813 0.813 0.000 Na
0.500 0.500 0.000 H
0.000 0.500 0.500 Cl
0.320 0.320 0.000 Cl
0.500 0.000 0.500 Cl
0.680 0.680 0.000 Cl
```

Density of states at the Fermi level = 5.87 states/eV/cell
Crystal system = tetragonal
Volume = 166 Å³/cell


b) Na2HCl4 after structural relaxation, computed with PBE-GGA.

Cell and atoms, written as POSCAR:
```
Na2HCl4
1.0
7.478 0.000 0.000
0.000 5.313 0.000
-1.809 0.000 7.853
Na H Cl
4 2 8
Direct
0.217 0.250 0.053 Na
0.277 0.250 0.544 Na
0.723 0.750 0.456 Na
0.783 0.750 0.947 Na
0.394 0.750 0.865 H
0.606 0.250 0.135 H
0.016 0.502 0.266 Cl
0.016 0.998 0.266 Cl
0.370 0.750 0.034 Cl
0.448 0.750 0.659 Cl
0.552 0.250 0.341 Cl
0.630 0.250 0.966 Cl
0.984 0.002 0.734 Cl
0.984 0.498 0.734 Cl
```

Density of states at the Fermi level = 2.85 states/eV/cell
Crystal system = monoclinic
Volume = 312 Å³/cell


Which structure is the least stable? The one labeled a).